[1]
Sr2SiS4: optimized geometry, PBEsol.

Properties
Density of states at the Fermi level, states/eV/atom: 0.000
SG: P2_1/m (11)
Crystal system: monoclinic
ρ, g/cm³: 3.325
V, Å³/atom: 23.65
ΔE_f (raw), eV per formula unit: -11.29

Structure (POSCAR):
```
Sr2SiS4
1.0
6.516 0.000 -0.034
0.000 6.545 0.000
-2.547 0.000 7.779
S Sr Si
8 4 2
Direct
0.085 0.750 0.368 S
0.496 0.002 0.264 S
0.496 0.498 0.264 S
0.915 0.250 0.632 S
0.114 0.750 0.935 S
0.504 0.998 0.736 S
0.886 0.250 0.065 S
0.504 0.502 0.736 S
0.717 0.750 0.049 Sr
0.283 0.250 0.951 Sr
0.775 0.750 0.571 Sr
0.225 0.250 0.429 Sr
0.719 0.250 0.796 Si
0.281 0.750 0.204 Si
```



[2]
SbAuSCl2: optimized geometry, PBEsol.

Properties
Density of states at the Fermi level, states/eV/atom: 0.663
SG: P4/mmm (123)
Crystal system: tetragonal
ρ, g/cm³: 6.168
V, Å³/atom: 22.70
ΔE_f (raw), eV per formula unit: 1.12

Structure (POSCAR):
```
SbAuSCl2
1.0
-2.712 3.993 0.038
-3.411 -2.293 -2.530
-2.095 -1.462 4.150
Cl Au Sb S
2 1 1 1
Direct
0.000 0.500 0.000 Cl
0.500 0.000 0.000 Cl
0.000 0.000 0.000 Au
0.500 0.500 0.500 Sb
0.000 0.000 0.500 S
```



[3]
Li4B2O5: optimized geometry, PBEsol.

Properties
Density of states at the Fermi level, states/eV/atom: 0.000
SG: P-1 (2)
Crystal system: triclinic
ρ, g/cm³: 2.269
V, Å³/atom: 8.61
ΔE_f (raw), eV per formula unit: -24.94
Polymorph energy (0 for the lowest one), meV/atom: 19

Structure (POSCAR):
```
Li4B2O5
1.0
-3.403 2.836 -1.960
-5.755 -1.184 3.635
-2.057 4.727 4.617
O Li B
10 8 4
Direct
0.625 0.587 0.736 O
0.259 0.802 0.515 O
0.869 0.723 0.991 O
0.210 0.235 0.660 O
0.131 0.277 0.009 O
0.791 0.102 0.962 O
0.790 0.765 0.340 O
0.375 0.413 0.264 O
0.741 0.198 0.485 O
0.209 0.898 0.038 O
0.975 0.425 0.205 Li
0.210 0.668 0.339 Li
0.989 0.971 0.693 Li
0.025 0.575 0.795 Li
0.011 0.029 0.307 Li
0.790 0.332 0.661 Li
0.490 0.312 0.027 Li
0.510 0.688 0.973 Li
0.453 0.275 0.468 B
0.887 0.859 0.083 B
0.113 0.141 0.917 B
0.547 0.725 0.532 B
```



[4]
ReAsSe2: optimized geometry, PBEsol.

Properties
Density of states at the Fermi level, states/eV/atom: 0.531
SG: Imm2 (44)
Crystal system: orthorhombic
ρ, g/cm³: 9.057
V, Å³/atom: 19.21
ΔE_f (raw), eV per formula unit: 1.06

Structure (POSCAR):
```
ReAsSe2
1.0
-2.216 1.837 -0.932
-1.565 0.186 4.086
5.251 3.588 -0.500
Se As Re
2 1 1
Direct
0.934 0.934 0.868 Se
0.723 0.223 0.445 Se
0.580 0.580 0.160 As
0.264 0.764 0.527 Re
```



[5]
AlTl2PAu: optimized geometry, PBEsol.

Properties
Density of states at the Fermi level, states/eV/atom: 0.661
SG: P4/mmm (123)
Crystal system: tetragonal
ρ, g/cm³: 8.281
V, Å³/atom: 26.62
Calculated total energy, eV/atom: -3.30

Structure (POSCAR):
```
AlTl2PAu
1.0
4.596 0.000 0.000
0.000 5.381 0.000
0.000 0.000 5.381
Tl P Au Al
2 1 1 1
Direct
0.000 0.000 0.500 Tl
0.000 0.500 0.000 Tl
0.000 0.000 0.000 P
0.500 0.000 0.000 Au
0.500 0.500 0.500 Al
```



[6]
ReMoIr: optimized geometry, PBEsol.

Properties
Density of states at the Fermi level, states/eV/atom: 0.877
SG: Imm2 (44)
Crystal system: orthorhombic
ρ, g/cm³: 17.969
V, Å³/atom: 14.61
Polymorph energy (0 for the lowest one), meV/atom: 0

Structure (POSCAR):
```
ReMoIr
1.0
2.688 0.000 0.000
0.000 3.923 0.000
-1.344 -1.962 4.157
Re Ir Mo
1 1 1
Direct
0.664 0.664 0.328 Re
0.002 0.002 0.004 Ir
0.334 0.334 0.668 Mo
```



[7]
ZnRh2Br: optimized geometry, PBEsol.

Properties
Density of states at the Fermi level, states/eV/atom: 0.768
SG: Cm (8)
Crystal system: monoclinic
ρ, g/cm³: 9.815
V, Å³/atom: 14.85
ΔE_f (raw), eV per formula unit: 0.99
Polymorph energy (0 for the lowest one), meV/atom: 52

Structure (POSCAR):
```
ZnRh2Br
1.0
-2.742 0.727 -1.074
-1.729 -0.923 3.787
2.421 4.211 0.951
Rh Zn Br
2 1 1
Direct
0.001 0.068 0.002 Rh
0.239 0.680 0.477 Rh
0.505 0.576 0.010 Zn
0.755 0.175 0.511 Br
```



[8]
AgSe3: optimized geometry, PBEsol.

Properties
Density of states at the Fermi level, states/eV/atom: 0.613
SG: Pmm2 (25)
Crystal system: orthorhombic
ρ, g/cm³: 6.124
V, Å³/atom: 23.37
ΔE_f (raw), eV per formula unit: 0.72

Structure (POSCAR):
```
AgSe3
1.0
-2.297 2.742 -0.206
-0.303 -0.520 -3.544
-5.536 -4.553 1.142
Se Ag
3 1
Direct
0.500 0.500 0.883 Se
0.000 0.500 0.366 Se
0.500 0.000 0.461 Se
0.000 0.000 0.956 Ag
```



[9]
TcPAu2: optimized geometry, PBEsol.

Properties
Density of states at the Fermi level, states/eV/atom: 0.510
SG: Cmm2 (35)
Crystal system: orthorhombic
ρ, g/cm³: 13.499
V, Å³/atom: 16.08
Calculated total energy, eV/atom: -6.03

Structure (POSCAR):
```
TcPAu2
1.0
2.776 0.000 0.000
-1.118 2.541 0.000
0.000 0.000 9.117
Au P Tc
2 1 1
Direct
0.000 0.000 0.014 Au
0.500 0.500 0.748 Au
0.000 0.000 0.461 P
0.500 0.500 0.277 Tc
```



[10]
NdAgP4O12: optimized geometry, PBEsol.

Properties
Density of states at the Fermi level, states/eV/atom: 0.000
SG: P2_1/c (14)
Crystal system: monoclinic
ρ, g/cm³: 3.974
V, Å³/atom: 13.19
ΔE_f (raw), eV per formula unit: -40.61

Structure (POSCAR):
```
NdAgP4O12
1.0
7.255 0.013 0.000
0.101 9.932 0.000
0.000 0.000 13.175
O P Ag Nd
48 16 4 4
Direct
0.631 0.654 0.810 O
0.787 0.791 0.487 O
0.429 0.164 0.377 O
0.570 0.294 0.608 O
0.287 0.291 0.013 O
0.738 0.414 0.162 O
0.220 0.605 0.210 O
0.089 0.708 0.420 O
0.720 0.105 0.290 O
0.677 0.343 0.368 O
0.589 0.208 0.080 O
0.803 0.600 0.356 O
0.197 0.400 0.644 O
0.096 0.203 0.334 O
0.071 0.336 0.877 O
0.411 0.792 0.920 O
0.929 0.664 0.123 O
0.404 0.297 0.834 O
0.904 0.797 0.666 O
0.911 0.292 0.580 O
0.280 0.895 0.710 O
0.790 0.904 0.107 O
0.762 0.086 0.662 O
0.323 0.657 0.632 O
0.262 0.586 0.838 O
0.823 0.157 0.868 O
0.780 0.395 0.790 O
0.303 0.100 0.144 O
0.218 0.634 0.021 O
0.177 0.843 0.132 O
0.596 0.703 0.166 O
0.710 0.596 0.607 O
0.210 0.096 0.893 O
0.282 0.866 0.521 O
0.131 0.154 0.690 O
0.213 0.209 0.513 O
0.930 0.206 0.108 O
0.697 0.900 0.856 O
0.713 0.709 0.987 O
0.070 0.794 0.892 O
0.782 0.366 0.979 O
0.571 0.836 0.623 O
0.238 0.914 0.338 O
0.869 0.846 0.310 O
0.290 0.404 0.393 O
0.430 0.706 0.392 O
0.718 0.134 0.479 O
0.369 0.346 0.190 O
0.646 0.194 0.373 P
0.249 0.244 0.899 P
0.380 0.235 0.115 P
0.751 0.756 0.101 P
0.354 0.806 0.627 P
0.770 0.299 0.090 P
0.251 0.256 0.399 P
0.230 0.701 0.910 P
0.620 0.765 0.885 P
0.270 0.799 0.410 P
0.730 0.201 0.590 P
0.880 0.735 0.385 P
0.120 0.265 0.615 P
0.749 0.744 0.601 P
0.854 0.306 0.873 P
0.146 0.694 0.127 P
0.500 0.932 0.224 Ag
0.000 0.432 0.276 Ag
0.000 0.568 0.724 Ag
0.500 0.068 0.776 Ag
0.514 0.522 0.282 Nd
0.986 0.978 0.782 Nd
0.486 0.478 0.718 Nd
0.014 0.022 0.218 Nd
```



[11]
TaAlCr: optimized geometry, PBEsol.

Properties
Density of states at the Fermi level, states/eV/atom: 0.470
SG: Imm2 (44)
Crystal system: orthorhombic
ρ, g/cm³: 9.787
V, Å³/atom: 14.70
Calculated total energy, eV/atom: -8.88

Structure (POSCAR):
```
TaAlCr
1.0
2.668 0.000 0.000
0.000 4.017 0.000
-1.334 -2.008 4.115
Cr Al Ta
1 1 1
Direct
0.660 0.660 0.319 Cr
0.007 0.007 0.014 Al
0.333 0.333 0.667 Ta
```



[12]
NbBi2O5F: optimized geometry, PBEsol.

Properties
Density of states at the Fermi level, states/eV/atom: 0.000
SG: P2_12_12_1 (19)
Crystal system: orthorhombic
ρ, g/cm³: 8.299
V, Å³/atom: 13.56
ΔE_f (raw), eV per formula unit: -17.89
Polymorph energy (0 for the lowest one), meV/atom: 6

Structure (POSCAR):
```
NbBi2O5F
1.0
5.393 0.000 0.000
0.000 5.422 0.000
0.000 0.000 16.695
Bi O Nb F
8 20 4 4
Direct
0.781 0.232 0.923 Bi
0.209 0.240 0.425 Bi
0.281 0.268 0.077 Bi
0.791 0.740 0.075 Bi
0.719 0.768 0.423 Bi
0.219 0.732 0.577 Bi
0.291 0.760 0.925 Bi
0.709 0.260 0.575 Bi
0.473 0.505 0.496 O
0.251 0.687 0.127 O
0.046 0.943 0.732 O
0.028 0.001 0.002 O
0.249 0.313 0.627 O
0.027 0.495 0.996 O
0.972 0.501 0.498 O
0.973 0.995 0.504 O
0.551 0.042 0.732 O
0.454 0.057 0.232 O
0.954 0.443 0.768 O
0.051 0.458 0.268 O
0.749 0.187 0.373 O
0.751 0.813 0.873 O
0.472 0.999 0.502 O
0.546 0.557 0.268 O
0.449 0.542 0.768 O
0.527 0.005 0.004 O
0.528 0.499 0.998 O
0.949 0.958 0.232 O
0.251 0.239 0.737 Nb
0.751 0.261 0.263 Nb
0.749 0.739 0.763 Nb
0.249 0.761 0.237 Nb
0.764 0.315 0.131 F
0.736 0.685 0.631 F
0.264 0.185 0.869 F
0.236 0.815 0.369 F
```